No. 1
MgOsIN2: relaxed, GGA-PBE.

Values from the calculation:
- Magnetic moment: 1.16 μB per formula unit
- E_tot: -20.4 eV per cell
- SG: P4/mmm (123)
- Energy relative to the lowest polymorph listed for this composition: 1477 meV/atom
- Uncorrected formation energy: 2116 meV/atom

Unit cell a=4.036 b=4.036 c=5.753 alpha=90.00 beta=90.00 gamma=90.00
Element x y z (fractional)
Mg 0.000 0.000 0.000
Os 0.500 0.500 0.500
I 0.000 0.000 0.500
N 0.000 0.500 0.000
N 0.500 0.000 0.000


No. 2
MnCrC: relaxed, GGA-PBE.

Values from the calculation:
- Magnetic moment: 0.11 μB per formula unit
- E_tot: -27.9 eV per cell
- SG: Amm2 (38)
- Energy relative to the lowest polymorph listed for this composition: 25 meV/atom
- Energy of formation: 0.09 eV per formula unit

Unit cell a=2.760 b=3.927 c=3.927 alpha=40.47 beta=90.00 gamma=90.00
Element x y z (fractional)
Mn 0.000 0.000 0.000
Cr 0.500 0.711 0.711
C 0.000 0.297 0.297


No. 3
CoAsPbBr2: relaxed, GGA-PBE.

Values from the calculation:
- Magnetic moment: 1.00 μB per formula unit
- E_tot: -18.5 eV per cell
- SG: P4/mmm (123)
- Energy relative to the lowest polymorph listed for this composition: 0 meV/atom
- Uncorrected formation energy: 69 meV/atom

Unit cell a=5.043 b=5.043 c=4.668 alpha=90.00 beta=90.00 gamma=90.00
Element x y z (fractional)
Co 0.000 0.000 0.000
As 0.000 0.000 0.500
Pb 0.500 0.500 0.500
Br 0.000 0.500 0.000
Br 0.500 0.000 0.000


No. 4
Pu2CdGa: relaxed, GGA-PBE.

Values from the calculation:
- Magnetic moment: 11.74 μB per formula unit
- E_tot: -32.0 eV per cell
- SG: R-3m (166)
- Energy of formation: 0.58 eV per formula unit

Unit cell a=11.604 b=11.604 c=11.604 alpha=15.83 beta=15.83 gamma=15.83
Element x y z (fractional)
Pu 0.095 0.095 0.095
Pu 0.905 0.905 0.905
Cd 0.000 0.000 0.000
Ga 0.500 0.500 0.500


No. 5
TeIr2Cl: relaxed, GGA-PBE.

Values from the calculation:
- Magnetic moment: 0.00 μB per formula unit
- E_tot: -19.5 eV per cell
- SG: C2/m (12)
- Energy relative to the lowest polymorph listed for this composition: 706 meV/atom
- Uncorrected formation energy: 807 meV/atom

Unit cell a=5.434 b=5.434 c=2.980 alpha=104.44 beta=104.44 gamma=114.75
Element x y z (fractional)
Te 0.000 0.000 0.000
Ir 0.000 0.500 0.000
Ir 0.500 0.000 0.000
Cl 0.500 0.500 0.000


No. 6
HfTcNiPt2: relaxed, GGA-PBE.

Values from the calculation:
- Magnetic moment: 3.54 μB per formula unit
- E_tot: -32.3 eV per cell
- SG: P4/mmm (123)
- Energy of formation: 5.90 eV per formula unit

Unit cell a=4.888 b=4.888 c=4.492 alpha=90.00 beta=90.00 gamma=90.00
Element x y z (fractional)
Hf 0.000 0.000 0.000
Tc 0.500 0.500 0.500
Ni 0.000 0.000 0.500
Pt 0.000 0.500 0.000
Pt 0.500 0.000 0.000


No. 7
ScAuCl3: relaxed, GGA-PBE.

Values from the calculation:
- Magnetic moment: 1.25 μB per formula unit
- E_tot: -16.1 eV per cell
- SG: Pm-3m (221)
- Energy relative to the lowest polymorph listed for this composition: 833 meV/atom
- Uncorrected formation energy: -196 meV/atom

Unit cell a=5.111 b=5.111 c=5.111 alpha=90.00 beta=90.00 gamma=90.00
Element x y z (fractional)
Sc 0.000 0.000 0.000
Au 0.500 0.500 0.500
Cl 0.000 0.500 0.500
Cl 0.500 0.000 0.500
Cl 0.500 0.500 0.000


No. 8
Sr2PdRhC: relaxed, GGA-PBE.

Values from the calculation:
- Magnetic moment: 0.00 μB per formula unit
- E_tot: -25.9 eV per cell
- SG: P4/mmm (123)
- Energy of formation: -0.75 eV per formula unit

Unit cell a=5.467 b=5.467 c=3.854 alpha=90.00 beta=90.00 gamma=90.00
Element x y z (fractional)
Sr 0.000 0.500 0.000
Sr 0.500 0.000 0.000
Pd 0.000 0.000 0.500
Rh 0.500 0.500 0.500
C 0.500 0.500 0.000


No. 9
UAl2Au: relaxed, GGA-PBE.

Values from the calculation:
- Magnetic moment: 2.66 μB per formula unit
- E_tot: -22.4 eV per cell
- SG: R-3m (166)
- Energy of formation: -0.34 eV per formula unit

Unit cell a=5.760 b=5.760 c=5.760 alpha=43.61 beta=43.61 gamma=43.61
Element x y z (fractional)
U 0.000 0.000 0.000
Al 0.216 0.216 0.216
Al 0.784 0.784 0.784
Au 0.500 0.500 0.500


No. 10
Dy6AsS5: relaxed, GGA-PBE.

Values from the calculation:
- Magnetic moment: 0.00 μB per formula unit
- E_tot: -76.0 eV per cell
- SG: C2/m (12)
- Uncorrected formation energy: -1927 meV/atom

Unit cell a=6.824 b=6.824 c=6.840 alpha=99.52 beta=99.52 gamma=120.07
Element x y z (fractional)
Dy 0.079 0.414 0.246
Dy 0.248 0.248 0.753
Dy 0.414 0.079 0.246
Dy 0.586 0.921 0.754
Dy 0.752 0.752 0.247
Dy 0.921 0.586 0.754
As 0.500 0.500 0.500
S 0.000 0.000 0.000
S 0.167 0.833 0.500
S 0.335 0.665 0.000
S 0.665 0.335 0.000
S 0.833 0.167 0.500


No. 11
Ca4ReSe: relaxed, GGA-PBE.

Values from the calculation:
- Magnetic moment: 1.03 μB per formula unit
- E_tot: -18.8 eV per cell
- SG: F-43m (216)
- Uncorrected formation energy: 851 meV/atom

Unit cell a=6.130 b=6.130 c=6.130 alpha=60.00 beta=60.00 gamma=60.00
Element x y z (fractional)
Ca 0.124 0.124 0.124
Ca 0.124 0.124 0.628
Ca 0.124 0.628 0.124
Ca 0.628 0.124 0.124
Re 0.750 0.750 0.750
Se 0.500 0.500 0.500


No. 12
Nd2Dy4HoSc: relaxed, GGA-PBE.

Values from the calculation:
- Magnetic moment: 0.00 μB per formula unit
- E_tot: -38.6 eV per cell
- SG: P4/mmm (123)
- Energy of formation: 0.27 eV per formula unit

Unit cell a=5.017 b=5.017 c=9.979 alpha=90.00 beta=90.00 gamma=90.00
Element x y z (fractional)
Nd 0.000 0.000 0.000
Nd 0.500 0.500 0.500
Dy 0.000 0.500 0.246
Dy 0.000 0.500 0.754
Dy 0.500 0.000 0.246
Dy 0.500 0.000 0.754
Ho 0.000 0.000 0.500
Sc 0.500 0.500 0.000


No. 13
Ni2AsOs: relaxed, GGA-PBE.

Values from the calculation:
- Magnetic moment: 0.00 μB per formula unit
- E_tot: -26.9 eV per cell
- SG: Cmmm (65)
- Energy of formation: 0.56 eV per formula unit

Unit cell a=4.505 b=4.505 c=2.782 alpha=90.00 beta=90.00 gamma=113.39
Element x y z (fractional)
Ni 0.000 0.500 0.000
Ni 0.500 0.000 0.000
As 0.000 0.000 0.500
Os 0.500 0.500 0.500


No. 14
DyPuMgIn: relaxed, GGA-PBE.

Values from the calculation:
- Magnetic moment: 6.29 μB per formula unit
- E_tot: -23.7 eV per cell
- SG: F-43m (216)
- Energy of formation: -0.48 eV per formula unit

Unit cell a=5.340 b=5.340 c=5.340 alpha=60.00 beta=60.00 gamma=60.00
Element x y z (fractional)
Dy 0.000 0.000 0.000
Pu 0.500 0.500 0.500
Mg 0.750 0.750 0.750
In 0.250 0.250 0.250


No. 15
Pr2Nd2Tm15: relaxed, GGA-PBE.

Values from the calculation:
- Magnetic moment: 0.00 μB per formula unit
- E_tot: -80.9 eV per cell
- SG: R-3m (166)
- Energy of formation: 5.24 eV per formula unit

Unit cell a=8.664 b=8.664 c=8.664 alpha=80.99 beta=80.99 gamma=80.99
Element x y z (fractional)
Pr 0.121 0.121 0.121
Pr 0.879 0.879 0.879
Nd 0.339 0.339 0.339
Nd 0.661 0.661 0.661
Tm 0.000 0.000 0.500
Tm 0.000 0.306 0.694
Tm 0.000 0.500 0.000
Tm 0.000 0.694 0.306
Tm 0.155 0.639 0.639
Tm 0.306 0.000 0.694
Tm 0.306 0.694 0.000
Tm 0.361 0.361 0.845
Tm 0.361 0.845 0.361
Tm 0.500 0.000 0.000
Tm 0.639 0.155 0.639
Tm 0.639 0.639 0.155
Tm 0.694 0.000 0.306
Tm 0.694 0.306 0.000
Tm 0.845 0.361 0.361


No. 16
PmNd2Pa2Rh5: relaxed, GGA-PBE.

Values from the calculation:
- Magnetic moment: 0.00 μB per formula unit
- E_tot: -152.7 eV per cell
- SG: P4/mbm (127)
- Energy of formation: -6.32 eV per formula unit

Unit cell a=11.047 b=11.047 c=3.651 alpha=90.00 beta=90.00 gamma=90.00
Element x y z (fractional)
Pm 0.000 0.000 0.000
Pm 0.500 0.500 0.000
Nd 0.173 0.327 0.000
Nd 0.327 0.827 0.000
Nd 0.673 0.173 0.000
Nd 0.827 0.673 0.000
Pa 0.134 0.634 0.000
Pa 0.366 0.134 0.000
Pa 0.634 0.866 0.000
Pa 0.866 0.366 0.000
Rh 0.000 0.500 0.500
Rh 0.049 0.789 0.500
Rh 0.211 0.049 0.500
Rh 0.289 0.549 0.500
Rh 0.451 0.289 0.500
Rh 0.500 0.000 0.500
Rh 0.549 0.711 0.500
Rh 0.711 0.451 0.500
Rh 0.789 0.951 0.500
Rh 0.951 0.211 0.500


No. 17
La2AsRu: relaxed, GGA-PBE.

Values from the calculation:
- Magnetic moment: 0.00 μB per formula unit
- E_tot: -26.2 eV per cell
- SG: Cmmm (65)
- Energy of formation: -2.42 eV per formula unit

Unit cell a=5.069 b=5.069 c=3.759 alpha=90.00 beta=90.00 gamma=98.47
Element x y z (fractional)
La 0.000 0.500 0.000
La 0.500 0.000 0.000
As 0.000 0.000 0.500
Ru 0.500 0.500 0.500


No. 18
Sm6Bi2C: relaxed, GGA-PBE.

Values from the calculation:
- Magnetic moment: 0.04 μB per formula unit
- E_tot: -98.6 eV per cell
- SG: P2_1/c (14)
- Energy relative to the lowest polymorph listed for this composition: 0 meV/atom
- Energy of formation: -4.02 eV per formula unit

Unit cell a=6.566 b=8.157 c=11.845 alpha=90.00 beta=121.72 gamma=90.00
Element x y z (fractional)
Sm 0.132 0.164 0.462
Sm 0.132 0.336 0.962
Sm 0.321 0.715 0.457
Sm 0.321 0.785 0.957
Sm 0.364 0.026 0.255
Sm 0.364 0.474 0.755
Sm 0.636 0.526 0.245
Sm 0.636 0.974 0.745
Sm 0.679 0.215 0.043
Sm 0.679 0.285 0.543
Sm 0.868 0.664 0.038
Sm 0.868 0.836 0.538
Bi 0.179 0.104 0.758
Bi 0.179 0.396 0.258
Bi 0.821 0.604 0.742
Bi 0.821 0.896 0.242
C 0.500 0.000 0.500
C 0.500 0.500 0.000


No. 19
Pr3NdRh2: relaxed, GGA-PBE.

Values from the calculation:
- Magnetic moment: 0.00 μB per formula unit
- E_tot: -72.8 eV per cell
- SG: Ibam (72)
- Energy of formation: -2.58 eV per formula unit

Unit cell a=8.649 b=8.649 c=8.649 alpha=132.26 beta=71.81 gamma=129.77
Element x y z (fractional)
Pr 0.017 0.750 0.267
Pr 0.250 0.250 0.000
Pr 0.483 0.750 0.733
Pr 0.517 0.250 0.267
Pr 0.750 0.750 0.000
Pr 0.983 0.250 0.733
Nd 0.000 0.500 0.500
Nd 0.500 0.000 0.500
Rh 0.137 0.213 0.350
Rh 0.363 0.713 0.076
Rh 0.637 0.287 0.924
Rh 0.863 0.787 0.650


No. 20
CaIn3As: relaxed, GGA-PBE.

Values from the calculation:
- Magnetic moment: 0.00 μB per formula unit
- E_tot: -10.8 eV per cell
- SG: Pm-3m (221)
- Energy relative to the lowest polymorph listed for this composition: 691 meV/atom
- Energy of formation: 4.09 eV per formula unit

Unit cell a=5.799 b=5.799 c=5.799 alpha=90.00 beta=90.00 gamma=90.00
Element x y z (fractional)
Ca 0.000 0.000 0.000
In 0.000 0.000 0.500
In 0.000 0.500 0.000
In 0.500 0.000 0.000
As 0.500 0.500 0.500


No. 21
TmLu3: relaxed, GGA-PBE.

Values from the calculation:
- Magnetic moment: 0.00 μB per formula unit
- E_tot: -17.9 eV per cell
- SG: I4/mmm (139)
- Energy relative to the lowest polymorph listed for this composition: 41 meV/atom
- Energy of formation: 0.14 eV per formula unit

Unit cell a=5.997 b=5.997 c=5.997 alpha=131.87 beta=131.87 gamma=70.44
Element x y z (fractional)
Tm 0.000 0.000 0.000
Lu 0.250 0.750 0.500
Lu 0.500 0.500 0.000
Lu 0.750 0.250 0.500


No. 22
YZrMo2N: relaxed, GGA-PBE.

Values from the calculation:
- Magnetic moment: 0.00 μB per formula unit
- E_tot: -45.9 eV per cell
- SG: P4/mmm (123)
- Uncorrected formation energy: -170 meV/atom

Unit cell a=4.217 b=4.217 c=4.790 alpha=90.00 beta=90.00 gamma=90.00
Element x y z (fractional)
Y 0.000 0.000 0.000
Zr 0.500 0.500 0.000
Mo 0.000 0.500 0.500
Mo 0.500 0.000 0.500
N 0.000 0.000 0.500


No. 23
Sr2AsS2: relaxed, GGA-PBE.

Values from the calculation:
- Magnetic moment: 0.00 μB per formula unit
- E_tot: -21.1 eV per cell
- SG: I4/mmm (139)
- Energy relative to the lowest polymorph listed for this composition: 50 meV/atom
- Uncorrected formation energy: -960 meV/atom

Unit cell a=8.788 b=8.788 c=8.788 alpha=154.11 beta=154.11 gamma=36.95
Element x y z (fractional)
Sr 0.113 0.113 0.000
Sr 0.887 0.887 0.000
As 0.500 0.500 0.000
S 0.250 0.750 0.500
S 0.750 0.250 0.500


No. 24
LiTaW: relaxed, GGA-PBE.

Values from the calculation:
- Magnetic moment: 0.00 μB per formula unit
- E_tot: -25.7 eV per cell
- SG: P1 (1)
- Energy relative to the lowest polymorph listed for this composition: 169 meV/atom
- Energy of formation: 0.98 eV per formula unit

Unit cell a=2.720 b=2.720 c=7.458 alpha=96.92 beta=97.06 gamma=108.99
Element x y z (fractional)
Li 0.000 0.000 0.000
Ta 0.673 0.677 0.355
W 0.335 0.337 0.673


No. 25
ZnAg2Os: relaxed, GGA-PBE.

Values from the calculation:
- Magnetic moment: 0.00 μB per formula unit
- E_tot: -17.0 eV per cell
- SG: Cmm2 (35)
- Energy of formation: 1.25 eV per formula unit

Unit cell a=2.750 b=2.750 c=9.481 alpha=90.00 beta=90.00 gamma=116.98
Element x y z (fractional)
Zn 0.000 0.000 0.000
Ag 0.000 0.000 0.509
Ag 0.500 0.500 0.244
Os 0.500 0.500 0.771


No. 26
SmSiPd6: relaxed, GGA-PBE.

Values from the calculation:
- Magnetic moment: 0.00 μB per formula unit
- E_tot: -44.6 eV per cell
- SG: R-3m (166)
- Uncorrected formation energy: -417 meV/atom

Unit cell a=6.411 b=6.411 c=6.411 alpha=53.06 beta=53.06 gamma=53.06
Element x y z (fractional)
Sm 0.000 0.000 0.000
Si 0.500 0.500 0.500
Pd 0.060 0.591 0.591
Pd 0.409 0.409 0.940
Pd 0.409 0.940 0.409
Pd 0.591 0.060 0.591
Pd 0.591 0.591 0.060
Pd 0.940 0.409 0.409